No. 1
Below is a geometry-optimized KNaLiBi2 structure, with properties calculated at the GGA-PBE level.

Cell and atoms, written as CIF:
```
data_KNaLiBi2
_chemical_formula_sum 'K1 Na1 Li1 Bi2'
_cell_length_a 5.378
_cell_length_b 5.378
_cell_length_c 5.516
_cell_angle_alpha 90.00
_cell_angle_beta 90.00
_cell_angle_gamma 90.00
_symmetry_space_group_name_H-M 'P 1'
_symmetry_Int_Tables_number 1
_symmetry_space_group_name_Hall 'P 1'
loop_
_atom_site_label
_atom_site_fract_x
_atom_site_fract_y
_atom_site_fract_z
_atom_site_occupancy
Bi1 0.500 0.000 0.000 1
Bi2 0.000 0.500 0.000 1
Li1 0.000 0.000 0.000 1
Na1 0.000 0.000 0.500 1
K1 0.500 0.500 0.500 1
```

Calculated values
Final energy, eV/atom: -2.627
E_form, eV per atom: -0.2082
Space-group type: P4/mmm



No. 2
Below is a geometry-optimized KLi2Bi2O6 structure, with properties calculated at the GGA-PBE level.

Cell and atoms, written as CIF:
```
data_KLi2Bi2O6
_chemical_formula_sum 'K1 Li2 Bi2 O6'
_cell_length_a 5.962
_cell_length_b 6.929
_cell_length_c 6.584
_cell_angle_alpha 125.41
_cell_angle_beta 99.78
_cell_angle_gamma 52.24
_symmetry_space_group_name_H-M 'P 1'
_symmetry_Int_Tables_number 1
_symmetry_space_group_name_Hall 'P 1'
loop_
_atom_site_label
_atom_site_fract_x
_atom_site_fract_y
_atom_site_fract_z
_atom_site_occupancy
Li1 0.921 0.232 0.228 1
Li2 0.079 0.768 0.772 1
Bi1 0.816 0.359 0.820 1
Bi2 0.184 0.641 0.180 1
O1 0.665 0.228 0.968 1
O2 0.991 0.448 0.168 1
O3 0.335 0.772 0.032 1
O4 0.791 0.156 0.419 1
O5 0.009 0.552 0.832 1
O6 0.209 0.844 0.581 1
K1 0.500 0.000 0.500 1
```

Calculated values
Final energy, eV/atom: -5.121
ΔE_f (raw), meV/atom: -1263
Space-group type: P-1



No. 3
Below is a geometry-optimized KLiBiO2 structure, with properties calculated at the GGA-PBE level.

Cell and atoms, written as CIF:
```
data_KLiBiO2
_chemical_formula_sum 'K2 Li2 Bi2 O4'
_cell_length_a 3.674
_cell_length_b 7.559
_cell_length_c 7.927
_cell_angle_alpha 117.66
_cell_angle_beta 90.00
_cell_angle_gamma 90.00
_symmetry_space_group_name_H-M 'P 1'
_symmetry_Int_Tables_number 1
_symmetry_space_group_name_Hall 'P 1'
loop_
_atom_site_label
_atom_site_fract_x
_atom_site_fract_y
_atom_site_fract_z
_atom_site_occupancy
O1 0.412 0.797 0.410 1
O2 0.412 0.203 0.090 1
O3 0.588 0.797 0.910 1
O4 0.588 0.203 0.590 1
Bi1 0.501 0.000 0.750 1
Bi2 0.499 0.000 0.250 1
Li1 0.000 0.000 0.000 1
Li2 0.000 0.000 0.500 1
K1 0.906 0.500 0.250 1
K2 0.094 0.500 0.750 1
```

Calculated values
Final energy, eV/atom: -4.434
ΔE_f (raw), meV/atom: -1072
Space-group type: P2/c



No. 4
Below is a geometry-optimized K4LiBi3O8 structure, with properties calculated at the GGA-PBE level.

Cell and atoms, written as CIF:
```
data_K4LiBi3O8
_chemical_formula_sum 'K4 Li1 Bi3 O8'
_cell_length_a 7.068
_cell_length_b 7.454
_cell_length_c 7.069
_cell_angle_alpha 118.56
_cell_angle_beta 119.99
_cell_angle_gamma 90.00
_symmetry_space_group_name_H-M 'P 1'
_symmetry_Int_Tables_number 1
_symmetry_space_group_name_Hall 'P 1'
loop_
_atom_site_label
_atom_site_fract_x
_atom_site_fract_y
_atom_site_fract_z
_atom_site_occupancy
K1 0.000 0.000 0.000 1
K2 0.500 0.000 0.500 1
K3 0.500 0.000 0.000 1
K4 0.000 0.000 0.500 1
Bi1 0.500 0.500 0.000 1
Bi2 0.000 0.500 0.500 1
Bi3 0.500 0.500 0.500 1
O1 0.263 0.689 0.972 1
O2 0.277 0.297 0.555 1
O3 0.233 0.694 0.465 1
O4 0.291 0.311 0.028 1
O5 0.723 0.703 0.445 1
O6 0.737 0.311 0.028 1
O7 0.767 0.306 0.535 1
O8 0.709 0.689 0.972 1
Li1 0.000 0.500 0.000 1
```

Calculated values
Final energy, eV/atom: -4.903
ΔE_f (raw), meV/atom: -1303
Space-group type: C2/m



No. 5
Below is a geometry-optimized KLiBiO3 structure, with properties calculated at the GGA-PBE level.

Cell and atoms, written as CIF:
```
data_KLiBiO3
_chemical_formula_sum 'K2 Li2 Bi2 O6'
_cell_length_a 3.507
_cell_length_b 6.320
_cell_length_c 8.909
_cell_angle_alpha 90.00
_cell_angle_beta 90.00
_cell_angle_gamma 106.11
_symmetry_space_group_name_H-M 'P 1'
_symmetry_Int_Tables_number 1
_symmetry_space_group_name_Hall 'P 1'
loop_
_atom_site_label
_atom_site_fract_x
_atom_site_fract_y
_atom_site_fract_z
_atom_site_occupancy
K1 0.271 0.543 0.250 1
K2 0.729 0.457 0.750 1
O1 0.385 0.771 0.944 1
O2 0.962 0.923 0.250 1
O3 0.385 0.771 0.556 1
O4 0.038 0.077 0.750 1
O5 0.615 0.229 0.056 1
O6 0.615 0.229 0.444 1
Li1 0.455 0.910 0.750 1
Li2 0.545 0.090 0.250 1
Bi1 0.000 0.000 0.000 1
Bi2 0.000 0.000 0.500 1
```

Calculated values
Final energy, eV/atom: -5.021
ΔE_f (raw), meV/atom: -1393
Space-group type: Cmcm



No. 6
Below is a geometry-optimized KLi2BiO4 structure, with properties calculated at the GGA-PBE level.

Cell and atoms, written as CIF:
```
data_KLi2BiO4
_chemical_formula_sum 'K1 Li2 Bi1 O4'
_cell_length_a 5.602
_cell_length_b 5.478
_cell_length_c 5.478
_cell_angle_alpha 61.50
_cell_angle_beta 59.25
_cell_angle_gamma 59.25
_symmetry_space_group_name_H-M 'P 1'
_symmetry_Int_Tables_number 1
_symmetry_space_group_name_Hall 'P 1'
loop_
_atom_site_label
_atom_site_fract_x
_atom_site_fract_y
_atom_site_fract_z
_atom_site_occupancy
O1 0.456 0.131 0.544 1
O2 0.869 0.544 0.131 1
O3 0.131 0.869 0.456 1
O4 0.544 0.456 0.869 1
Bi1 0.500 0.500 0.500 1
Li1 0.250 0.250 0.250 1
Li2 0.750 0.750 0.750 1
K1 0.000 0.000 0.000 1
```

Calculated values
Final energy, eV/atom: -4.979
ΔE_f (raw), meV/atom: -1399
Space-group type: I-42m